Density functional theory data (GGA+U) for a relaxed YWO4 crystal.

```
YWO4
1.0
-2.290 5.086 2.689
-3.985 -2.777 -3.841
1.358 -4.030 4.500
Y W O
2 2 8
direct
0.000 0.000 0.000
0.750 0.250 0.500
0.250 0.750 0.500
0.500 0.500 0.000
0.245 0.936 0.309
0.626 0.936 0.691
0.686 0.876 0.191
0.505 0.314 0.191
0.686 0.495 0.809
0.064 0.374 0.309
0.124 0.314 0.809
0.064 0.755 0.691
```

Calculated total energy in eV per formula unit: -48.51
Symmetry: No. 141